Computed, not measured: a relaxed CaAs12Ru4 crystal at the PBE level of DFT.

Cell and atoms, written as POSCAR:
```
CaAs12Ru4
1.0
-7.109 0.121 -2.221
4.028 -4.044 -4.786
0.428 -3.035 6.789
Ru As Ca
4 12 1
Cartesian
0.214 -1.517 3.395
-3.554 0.061 -1.111
-1.326 -3.479 -0.109
2.014 -2.022 -2.393
-1.320 -3.349 4.031
-2.805 -1.610 0.551
2.147 -4.477 -2.133
-1.332 -3.609 -4.249
-4.544 -1.924 -2.204
-3.213 -4.038 -1.606
0.561 -2.920 1.388
-4.800 -2.480 1.915
1.892 -5.033 1.986
-0.412 -2.438 -2.157
0.153 -5.347 -0.769
-2.240 -4.520 1.939
0.000 0.000 0.000
```

## Properties
* calculated formation energy: -0.400 eV per atom

***

Computed, not measured: a relaxed LaZnP2O8 crystal at the PBE level of DFT.

Cell and atoms, written as POSCAR:
```
LaZnP2O8
1.0
5.186 0.000 0.000
-2.593 4.491 0.000
0.000 0.000 6.985
P O La Zn
2 8 1 1
Cartesian
2.593 1.497 1.605
0.000 2.994 5.380
0.000 2.994 6.934
-1.271 3.734 4.915
2.593 1.497 0.051
1.276 3.725 4.915
3.864 0.757 2.070
1.317 0.766 2.070
-0.005 1.523 4.915
2.598 2.968 2.070
0.000 0.000 0.000
0.000 0.000 3.493
```

## Properties
* raw formation energy: -2.2906 eV/atom

***

Computed, not measured: a relaxed Na5Hg2Te4 crystal at the PBE level of DFT.

Cell and atoms, written as POSCAR:
```
Na5Hg2Te4
1.0
4.988 0.000 0.000
0.000 6.291 -2.841
-2.494 -8.754 15.387
Na Te Hg
5 4 2
Cartesian
2.494 0.000 0.000
0.000 2.681 1.357
0.000 0.575 4.295
2.494 -5.144 11.189
2.494 -3.038 8.251
2.494 -6.979 13.691
2.494 1.566 2.735
0.000 4.516 -1.145
0.000 -4.028 9.810
0.000 -0.981 7.234
2.494 -1.482 5.312
```

## Properties
* raw formation energy: -0.5346 eV/atom
* ΔE to the lowest computed polymorph: 67 meV per atom

***

Computed, not measured: a relaxed ZrNi crystal at the PBE level of DFT.

Cell and atoms, written as POSCAR:
```
ZrNi
1.0
3.534 0.000 0.000
-1.767 3.061 0.000
0.000 0.000 3.379
Zr Ni
1 1
Cartesian
0.000 2.040 1.690
0.000 0.000 0.000
```

## Properties
* calculated formation energy: -0.133 eV per atom

***

Computed, not measured: a relaxed KCaBeS2 crystal at the PBE level of DFT.

Cell and atoms, written as POSCAR:
```
KCaBeS2
1.0
-3.450 1.568 -2.657
-4.090 -5.655 1.973
-1.944 5.475 5.755
Ca Be S K
2 2 4 2
Cartesian
-3.226 4.910 2.955
-2.168 2.133 0.143
-0.972 2.737 2.878
0.000 0.000 0.000
-7.627 2.029 5.129
-1.857 -0.641 -0.058
-4.490 2.851 1.541
-4.994 -1.463 3.531
-4.208 1.599 4.760
-5.276 -0.211 0.311
```

## Properties
* raw formation energy: -0.9887 eV/atom

***

Computed, not measured: a relaxed NbFe2Re2 crystal at the PBE level of DFT.

Cell and atoms, written as POSCAR:
```
NbFe2Re2
1.0
7.279 0.000 0.000
0.000 7.279 0.000
0.000 0.000 2.664
Fe Re Nb
4 4 2
Cartesian
1.241 4.881 1.332
4.881 6.038 1.332
2.398 1.241 1.332
6.038 2.398 1.332
6.361 4.557 0.000
4.557 0.918 0.000
0.918 2.722 0.000
2.722 6.361 0.000
3.640 3.640 0.000
0.000 0.000 0.000
```

## Properties
* calculated formation energy: 0.116 eV per atom
* ΔE to the lowest computed polymorph: 80 meV per atom

***

Computed, not measured: a relaxed CaLa8Pm6 crystal at the PBE level of DFT.

Cell and atoms, written as POSCAR:
```
CaLa8Pm6
1.0
7.936 -0.320 2.961
1.946 7.700 2.961
-0.429 -0.320 8.459
La Pm Ca
8 6 1
Cartesian
1.902 4.375 10.249
7.551 2.685 4.133
2.217 1.655 3.372
2.801 0.004 8.571
6.652 7.055 5.811
7.237 5.404 11.009
7.530 0.582 8.411
1.923 6.478 5.970
7.513 4.008 7.370
4.918 2.492 9.820
1.940 3.051 7.011
4.535 4.567 4.562
4.396 6.065 8.409
5.058 0.994 5.972
0.000 0.000 0.000
```

## Properties
* calculated formation energy: 0.137 eV per atom

***

Computed, not measured: a relaxed CoPdRh2C crystal at the PBE level of DFT.

Cell and atoms, written as POSCAR:
```
CoPdRh2C
1.0
-0.974 -3.157 3.289
2.059 -3.305 -2.563
2.989 0.674 1.532
Co Rh C Pd
1 2 1 1
Cartesian
0.000 0.000 0.000
-0.487 -1.579 1.644
1.030 -1.652 -1.281
1.494 0.337 0.766
2.037 -2.894 1.129
```

## Properties
* calculated formation energy: 1.217 eV per atom
* ΔE to the lowest computed polymorph: 994 meV per atom

***

Number 1: VASP energy -5.982 eV/atom. Number 2: VASP energy -7.015 eV/atom. Number 3: VASP energy -2.331 eV/atom. Number 4: VASP energy -7.298 eV/atom. Number 5: VASP energy -4.005 eV/atom. Number 6: VASP energy -10.263 eV/atom. Number 7: VASP energy -4.525 eV/atom. Number 8: VASP energy -6.028 eV/atom.